Crystalline Mg2Zn2Ag5 at its relaxed geometry, computed with PBE.

The structure in POSCAR format:
```
Mg2Zn2Ag5
1.0
4.4787 0.0000 -1.2246
-0.9565 6.9655 -3.4984
0.2660 0.5193 9.7753
Mg Zn Ag
4 4 10
Direct
0.0000 0.8711 0.0000
0.5000 0.3711 0.0000
0.7495 0.9504 0.5000
0.2505 0.4504 0.5000
0.9086 0.4484 0.8174
0.0914 0.6311 0.1826
0.4088 0.9484 0.8174
0.5912 0.1311 0.1826
0.5827 0.7871 0.1652
0.4173 0.6219 0.8348
0.0825 0.2871 0.1652
0.9175 0.1219 0.8348
0.8349 0.7048 0.6697
0.1651 0.0351 0.3303
0.3349 0.2048 0.6697
0.6651 0.5351 0.3303
0.7505 0.2861 0.5000
0.2495 0.7861 0.5000
```

Calculated values
- density of states at the Fermi level (states/eV per cell) = 4.49
- energy of formation (eV/atom) = -0.1151
- space group = Amm2
- uncorrected energy (eV per cell) = -42.06
- relative energy among the computed polymorphs (meV/atom) = 0.0

***

Crystalline YCr2Ag at its relaxed geometry, computed with PBE.

The structure in POSCAR format:
```
YCr2Ag
1.0
-0.7550 3.8215 -2.8144
-4.4847 0.5254 1.6452
3.7440 -0.1664 3.0082
Ag Cr Y
1 2 1
Direct
0.7500 0.2500 0.5000
0.0000 0.0000 0.0000
0.2500 0.7500 0.5000
0.5000 0.5000 0.0000
```

Calculated values
- density of states at the Fermi level (states/eV per cell) = 2.99
- energy of formation (eV/atom) = 0.3010
- space group = I-4m2
- uncorrected energy (eV per cell) = -27.36
- relative energy among the computed polymorphs (meV/atom) = 57.7

***

Crystalline Ba2CdSbN at its relaxed geometry, computed with PBE.

The structure in POSCAR format:
```
Ba2CdSbN
1.0
-4.0240 0.5791 -4.1151
2.4877 -4.2527 -3.0311
-2.5653 -2.9887 2.0879
Sb N Ba Cd
1 1 2 1
Direct
0.5000 0.5000 0.5000
0.0000 0.0000 0.0000
0.0000 0.5000 0.0000
0.5000 0.0000 0.0000
0.0000 0.0000 0.5000
```

Calculated values
- density of states at the Fermi level (states/eV per cell) = 0.61
- raw formation energy (eV/f.u.) = -2.48
- space group = P4/mmm
- uncorrected energy (eV per cell) = -19.69

***

Crystalline Sm3Ga3Au at its relaxed geometry, computed with PBE.

The structure in POSCAR format:
```
Sm3Ga3Au
1.0
4.4339 0.0000 0.6679
2.1942 5.4565 0.4850
0.1697 -0.0789 13.9247
Sm Ga Au
6 6 2
Direct
0.5393 0.3021 0.6193
0.4607 0.6979 0.3807
0.2595 0.2530 0.2281
0.7405 0.7470 0.7719
0.3942 0.2862 0.9254
0.6058 0.7138 0.0746
0.8721 0.7159 0.5399
0.1279 0.2841 0.4601
0.1080 0.8599 0.9241
0.8920 0.1401 0.0759
0.9729 0.8279 0.2262
0.0271 0.1721 0.7738
0.7506 0.1103 0.3885
0.2494 0.8897 0.6115
```

Calculated values
- density of states at the Fermi level (states/eV per cell) = 9.37
- energy of formation (eV/atom) = -0.6820
- space group = C2/m
- uncorrected energy (eV per cell) = -62.58

***

Crystalline LiAg2P2 at its relaxed geometry, computed with PBE.

The structure in POSCAR format:
```
LiAg2P2
1.0
-1.8292 -7.3231 1.1065
0.8040 -1.3294 -7.4689
2.9211 -0.6643 0.4327
P Ag Li
4 4 2
Direct
0.3354 0.8354 0.0000
0.8354 0.6646 0.0000
0.6646 0.1646 0.0000
0.1646 0.3354 0.0000
0.1394 0.6394 0.5000
0.6394 0.8606 0.5000
0.8606 0.3606 0.5000
0.3606 0.1394 0.5000
0.0000 0.0000 0.0000
0.5000 0.5000 0.0000
```

Calculated values
- density of states at the Fermi level (states/eV per cell) = 3.66
- energy of formation (eV/atom) = 0.1348
- space group = P4/mbm
- uncorrected energy (eV per cell) = -35.52
- relative energy among the computed polymorphs (meV/atom) = 226.7

***

Crystalline Pu2Zn12Ni5 at its relaxed geometry, computed with PBE.

The structure in POSCAR format:
```
Pu2Zn12Ni5
1.0
6.5981 0.0621 0.6226
0.5724 6.5735 0.6226
0.0671 0.0621 6.6270
Pu Zn Ni
2 12 5
Direct
0.6610 0.6610 0.6610
0.3390 0.3390 0.3390
0.2847 0.7153 0.0000
0.7153 0.0000 0.2847
0.0000 0.2847 0.7153
0.7153 0.2847 0.0000
0.2847 0.0000 0.7153
0.0000 0.7153 0.2847
0.3443 0.3443 0.8637
0.3443 0.8637 0.3443
0.8637 0.3443 0.3443
0.6557 0.1363 0.6557
0.6557 0.6557 0.1363
0.1363 0.6557 0.6557
0.0000 0.0000 0.5000
0.0000 0.5000 0.0000
0.5000 0.0000 0.0000
0.8951 0.8951 0.8951
0.1049 0.1049 0.1049
```

Calculated values
- density of states at the Fermi level (states/eV per cell) = 33.35
- energy of formation (eV/atom) = -0.1817
- space group = R-3m
- uncorrected energy (eV per cell) = -76.31

***

Crystalline Pu3Pa13 at its relaxed geometry, computed with PBE.

The structure in POSCAR format:
```
Pu3Pa13
1.0
6.6080 0.0151 0.0000
-0.0085 6.6082 0.0000
0.0000 0.0000 9.0515
Pu Pa
3 13
Direct
0.9996 0.0004 0.2574
0.7529 0.2471 0.0000
0.9996 0.0004 0.7426
0.5008 0.0009 0.2486
0.5010 0.4990 0.2448
0.9991 0.4992 0.2486
0.7546 0.7557 0.0000
0.2443 0.2454 0.0000
0.2464 0.7536 0.0000
0.5008 0.0009 0.7514
0.5010 0.4990 0.7552
0.9991 0.4992 0.7514
0.7506 0.2494 0.5000
0.7493 0.7488 0.5000
0.2512 0.2507 0.5000
0.2497 0.7503 0.5000
```

Calculated values
- density of states at the Fermi level (states/eV per cell) = 34.17
- energy of formation (eV/atom) = 0.0300
- space group = Amm2
- uncorrected energy (eV per cell) = -165.96

***

Crystalline PuSnSb at its relaxed geometry, computed with PBE.

The structure in POSCAR format:
```
PuSnSb
1.0
-1.6256 -3.8154 1.3579
0.6827 -1.7321 -4.0497
7.0509 -1.4826 4.2756
Pu Sn Sb
2 2 2
Direct
0.2500 0.0921 0.1842
0.7500 0.9079 0.8158
0.2500 0.7476 0.4952
0.7500 0.2524 0.5048
0.2500 0.4278 0.8556
0.7500 0.5722 0.1444
```

Calculated values
- density of states at the Fermi level (states/eV per cell) = 18.76
- raw formation energy (eV/f.u.) = -1.36
- space group = Cmcm
- uncorrected energy (eV per cell) = -47.63
- relative energy among the computed polymorphs (meV/atom) = 0.0

***

Crystalline Ce3C2I2 at its relaxed geometry, computed with PBE.

The structure in POSCAR format:
```
Ce3C2I2
1.0
-1.8420 -2.8872 1.4849
6.0106 -1.9893 -1.1009
0.9856 3.2809 7.5897
Ce C I
3 2 2
Direct
0.0000 0.0000 0.0000
0.7816 0.5628 0.1848
0.2184 0.4372 0.8152
0.6404 0.2809 0.9575
0.3596 0.7191 0.0425
0.8827 0.7665 0.6277
0.1173 0.2335 0.3723
```

Calculated values
- density of states at the Fermi level (states/eV per cell) = 11.84
- raw formation energy (eV/f.u.) = -3.93
- space group = C2/m
- uncorrected energy (eV per cell) = -43.28

***

Crystalline Tl3SnCl7 at its relaxed geometry, computed with PBE.

The structure in POSCAR format:
```
Tl3SnCl7
1.0
-4.0866 5.3483 2.9558
-6.5196 -3.2685 -0.9240
-3.3160 -2.2963 7.1792
Tl Sn Cl
3 1 7
Direct
0.7790 0.2267 0.4817
0.5065 0.5065 0.9514
0.2267 0.7790 0.4817
0.0121 0.0121 0.9668
0.1698 0.1698 0.1014
0.6870 0.0540 0.1874
0.9743 0.3346 0.7362
0.0540 0.6870 0.1874
0.5301 0.5301 0.5856
0.3346 0.9743 0.7362
0.8510 0.8510 0.8341
```

Calculated values
- density of states at the Fermi level (states/eV per cell) = 0.00
- raw formation energy (eV/f.u.) = -10.94
- space group = Cm
- uncorrected energy (eV per cell) = -34.96

***

Crystalline GePtIN2 at its relaxed geometry, computed with PBE.

The structure in POSCAR format:
```
GePtIN2
1.0
3.8793 0.0000 0.0000
0.0000 3.8793 0.0000
0.0000 0.0000 7.9642
I Ge Pt N
1 1 1 2
Direct
0.0000 0.0000 0.5000
0.5000 0.5000 0.5000
0.0000 0.0000 0.0000
0.0000 0.5000 0.0000
0.5000 0.0000 0.0000
```

Calculated values
- density of states at the Fermi level (states/eV per cell) = 3.94
- raw formation energy (eV/f.u.) = 6.53
- space group = P4/mmm
- uncorrected energy (eV per cell) = -22.32
- relative energy among the computed polymorphs (meV/atom) = 0.0

***

Crystalline KRe2Pb at its relaxed geometry, computed with PBE.

The structure in POSCAR format:
```
KRe2Pb
1.0
-5.2623 -0.4888 2.7256
-0.5935 -0.5104 5.8947
2.7856 3.3081 -4.0813
K Pb Re
1 1 2
Direct
0.2500 0.7500 0.5000
0.7500 0.2500 0.5000
0.0000 0.0000 0.0000
0.5000 0.5000 0.0000
```

Calculated values
- density of states at the Fermi level (states/eV per cell) = 4.03
- energy of formation (eV/atom) = 1.7141
- space group = I4/mmm
- uncorrected energy (eV per cell) = -22.85